1.
# CsSeO4

An optimized crystal structure of CsSeO4 (GGA-PBE, Alexandria).

```
12
Lattice="-2.954 2.954 7.469 2.954 -2.954 7.469 2.954 2.954 -7.469" Properties=species:S:1:pos:R:3 pbc="T T T"
Cs 2.954 1.477 1.867
Cs 0.000 1.477 5.602
Se 2.954 -1.477 5.602
Se 0.000 4.430 1.867
O 2.954 2.855 -4.648
O 1.379 1.477 -0.914
O 1.575 -1.477 6.556
O 2.954 -0.098 4.648
O 0.000 3.052 2.821
O 1.379 4.430 0.914
O 1.575 1.477 8.383
O 0.000 0.098 12.118
```

## Properties
- excess energy over the best structure of this formula in the dataset (meV per atom) = 4.5
- space-group type = I4_1/amd, No. 141

---

2.
# CsSe3O

An optimized crystal structure of CsSe3O (GGA-PBE, Alexandria).

```
5
Lattice="4.890 0.000 0.000 0.000 4.890 0.000 0.000 0.000 4.890" Properties=species:S:1:pos:R:3 pbc="T T T"
Cs 0.000 0.000 0.000
Se 0.000 2.445 2.445
Se 2.445 0.000 2.445
Se 2.445 2.445 0.000
O 2.445 2.445 2.445
```

## Properties
- excess energy over the best structure of this formula in the dataset (meV per atom) = 0.0
- space-group type = Pm-3m, No. 221

---

3.
# Cs2Se2O7

An optimized crystal structure of Cs2Se2O7 (GGA-PBE, Alexandria).

```
11
Lattice="4.224 -5.677 0.000 4.224 5.677 0.000 -0.682 0.000 5.574" Properties=species:S:1:pos:R:3 pbc="T T T"
Cs 4.224 3.369 0.000
Cs 4.224 -3.369 0.000
Se 2.105 0.000 3.097
Se 5.661 0.000 2.477
O 1.833 1.386 3.950
O 1.415 0.000 1.601
O 1.833 -1.386 3.950
O 3.883 0.000 2.787
O 5.933 1.386 1.625
O 6.351 0.000 3.973
O 5.933 -1.386 1.625
```

## Properties
- space-group type = C2/m, No. 12

---

4.
# CsSeO2

An optimized crystal structure of CsSeO2 (GGA-PBE, Alexandria).

```
4
Lattice="1.895 1.094 7.531 -1.895 1.094 7.531 0.000 -2.188 7.531" Properties=species:S:1:pos:R:3 pbc="T T T"
Cs 0.000 0.000 0.000
Se 0.000 0.000 11.296
O 0.000 0.000 9.514
O 0.000 0.000 13.078
```

## Properties
- space-group type = R-3m, No. 166

---

5.
# CsSeO4

An optimized crystal structure of CsSeO4 (GGA-PBE, Alexandria).

```
12
Lattice="1.845 -7.938 0.000 1.845 7.938 0.000 0.000 0.000 7.240" Properties=species:S:1:pos:R:3 pbc="T T T"
Cs 1.845 5.395 5.430
Cs 1.845 -5.395 1.810
Se 1.845 1.287 5.430
Se 1.845 -1.287 1.810
O 1.845 7.327 1.810
O 1.845 2.382 4.143
O 1.845 2.382 6.717
O 1.845 0.000 0.000
O 1.845 0.000 3.620
O 1.845 -2.382 0.523
O 1.845 -2.382 3.097
O 1.845 -7.327 5.430
```

## Properties
- excess energy over the best structure of this formula in the dataset (meV per atom) = 381.2
- space-group type = Cmcm, No. 63

---

6.
# Cs2Se2O5

An optimized crystal structure of Cs2Se2O5 (GGA-PBE, Alexandria).

```
9
Lattice="6.421 -2.098 0.000 6.421 2.098 0.000 -2.450 0.000 6.714" Properties=species:S:1:pos:R:3 pbc="T T T"
Cs 0.305 0.000 2.347
Cs 10.088 0.000 4.367
Se 4.417 0.000 0.272
Se 5.975 0.000 6.442
O 2.243 0.000 0.038
O 4.425 0.000 1.952
O 6.421 0.000 0.000
O 5.968 0.000 4.762
O 8.150 0.000 6.676
```

## Properties
- excess energy over the best structure of this formula in the dataset (meV per atom) = 249.3
- space-group type = C2/m, No. 12

---

7.
# Cs4SeO

An optimized crystal structure of Cs4SeO (GGA-PBE, Alexandria).

```
12
Lattice="8.644 -4.109 0.000 8.644 4.109 0.000 -1.740 0.000 7.387" Properties=species:S:1:pos:R:3 pbc="T T T"
Cs 5.775 2.259 3.505
Cs 3.403 0.000 1.095
Cs 8.644 2.130 0.000
Cs 9.774 2.259 3.882
Cs 5.775 -2.259 3.505
Cs 8.644 -2.130 0.000
Cs 12.145 0.000 6.292
Cs 9.774 -2.259 3.882
Se 3.838 0.000 5.538
Se 11.711 0.000 1.849
O 0.618 0.000 1.946
O 14.931 0.000 5.441
```

## Properties
- space-group type = C2/m, No. 12

---

8.
# CsSiSe2O8

An optimized crystal structure of CsSiSe2O8 (GGA-PBE, Alexandria).

```
12
Lattice="4.183 -2.735 0.000 4.183 2.735 0.000 -2.953 0.000 8.623" Properties=species:S:1:pos:R:3 pbc="T T T"
Cs 0.000 0.000 0.000
Si 2.707 0.000 4.312
Se -0.322 0.000 5.740
Se 5.735 0.000 2.883
O 2.520 1.207 2.990
O 0.892 0.000 4.515
O 0.231 0.000 7.294
O 2.893 1.207 5.633
O 2.520 -1.207 2.990
O 5.182 0.000 1.329
O 4.521 0.000 4.108
O 2.893 -1.207 5.633
```

## Properties
- space-group type = C2/m, No. 12

---

9.
# Cs2Sm4Se3O2

An optimized crystal structure of Cs2Sm4Se3O2 (GGA-PBE, Alexandria).

```
11
Lattice="-2.372 2.372 16.465 2.372 -2.372 16.465 2.372 2.372 -16.465" Properties=species:S:1:pos:R:3 pbc="T T T"
Cs 0.000 0.000 5.662
Cs 0.000 0.000 27.269
Sm 2.372 0.000 1.961
Sm 2.372 0.000 14.504
Sm 0.000 2.372 1.961
Sm 0.000 2.372 14.504
Se 0.000 0.000 12.572
Se 0.000 0.000 16.465
Se 0.000 0.000 20.359
O 0.000 0.000 2.125
O 0.000 0.000 30.806
```

## Properties
- space-group type = I4/mmm, No. 139

---

10.
# CsSmSe2O8

An optimized crystal structure of CsSmSe2O8 (GGA-PBE, Alexandria).

```
12
Lattice="5.639 0.000 0.000 -2.819 4.883 0.000 0.000 0.000 9.187" Properties=species:S:1:pos:R:3 pbc="T T T"
Cs 0.000 0.000 0.000
Sm 0.000 0.000 4.594
Se 0.000 3.255 6.613
Se 2.819 1.628 2.575
O -0.484 1.759 6.025
O -1.054 4.423 6.025
O 0.000 3.255 8.257
O 1.281 1.298 3.162
O 1.538 3.585 6.025
O 2.819 1.628 0.930
O 3.874 0.461 3.162
O 3.303 3.124 3.162
```

## Properties
- space-group type = P-3, No. 147

---

11.
# CsSmSe2O6

An optimized crystal structure of CsSmSe2O6 (GGA-PBE, Alexandria).

```
20
Lattice="4.524 -5.368 0.000 4.524 5.368 0.000 -2.765 0.000 7.543" Properties=species:S:1:pos:R:3 pbc="T T T"
Cs 2.450 3.617 5.657
Cs 3.833 -3.617 1.886
Sm 3.833 0.610 1.886
Sm 2.450 -0.610 5.657
Se -0.313 1.290 6.059
Se 1.070 -1.290 2.287
Se 5.213 1.290 5.255
Se 6.596 -1.290 1.484
O 2.214 2.410 1.863
O 0.440 0.564 4.690
O 1.822 -0.564 0.918
O 1.128 1.145 7.065
O 5.452 2.410 1.908
O 3.772 1.145 4.249
O 2.510 -1.145 3.294
O 0.831 -2.410 5.634
O 5.155 -1.145 0.478
O 4.460 0.564 6.624
O 5.843 -0.564 2.853
O 4.069 -2.410 5.680
```

## Properties
- space-group type = C2/c, No. 15

---

12.
# CsSnSe2O8

An optimized crystal structure of CsSnSe2O8 (GGA-PBE, Alexandria).

```
12
Lattice="5.388 0.000 0.000 -2.694 4.666 0.000 0.000 0.000 9.271" Properties=species:S:1:pos:R:3 pbc="T T T"
Cs 0.000 0.000 0.000
Sn 0.000 0.000 4.635
Se 0.000 3.111 6.530
Se 2.694 1.555 2.741
O -0.609 1.613 5.958
O -0.993 4.387 5.958
O 0.000 3.111 8.184
O 1.092 1.333 3.313
O 1.602 3.333 5.958
O 2.694 1.555 1.086
O 3.687 0.279 3.313
O 3.303 3.053 3.313
```

## Properties
- space-group type = P-3, No. 147

---

13.
# Cs2SnSeO

An optimized crystal structure of Cs2SnSeO (GGA-PBE, Alexandria).

```
10
Lattice="8.125 0.000 0.000 0.000 4.433 0.000 -3.742 0.000 10.694" Properties=species:S:1:pos:R:3 pbc="T T T"
Cs -0.336 1.108 3.959
Cs 2.171 3.325 0.507
Cs 2.212 1.108 10.187
Cs 4.719 3.325 6.735
Sn 0.800 3.325 7.104
Sn 3.583 1.108 3.590
Se -0.752 1.108 8.097
Se 5.135 3.325 2.597
O 2.039 1.108 2.351
O 2.345 3.325 8.343
```

## Properties
- space-group type = P2_1/m, No. 11

---

14.
# CsSrSe2O8

An optimized crystal structure of CsSrSe2O8 (GGA-PBE, Alexandria).

```
12
Lattice="5.039 -3.121 0.000 5.039 3.121 0.000 -3.501 0.000 7.160" Properties=species:S:1:pos:R:3 pbc="T T T"
Cs 0.000 0.000 0.000
Sr 3.288 0.000 3.580
Se -0.023 0.000 4.812
Se 6.599 0.000 2.348
O 2.444 1.770 1.895
O 0.261 0.000 3.160
O 4.132 1.770 5.265
O 1.489 0.000 5.531
O 5.087 0.000 1.629
O 2.444 -1.770 1.895
O 6.315 0.000 4.000
O 4.132 -1.770 5.265
```

## Properties
- space-group type = C2/m, No. 12

---

15.
# Cs3SrSe2O6

An optimized crystal structure of Cs3SrSe2O6 (GGA-PBE, Alexandria).

```
12
Lattice="6.345 0.000 0.000 -3.173 5.495 0.000 0.000 0.000 7.971" Properties=species:S:1:pos:R:3 pbc="T T T"
Cs 0.000 0.000 0.000
Cs 0.000 3.663 5.482
Cs 3.173 1.832 2.489
Sr 0.000 0.000 3.986
Se 0.000 3.663 1.748
Se 3.173 1.832 6.223
O 0.000 2.090 2.536
O -1.362 4.450 2.536
O 1.810 1.045 5.435
O 1.362 4.450 2.536
O 4.535 1.045 5.435
O 3.173 3.405 5.435
```

## Properties
- space-group type = P-3m1, No. 164

---

16.
# Cs2SrSe2O6

An optimized crystal structure of Cs2SrSe2O6 (GGA-PBE, Alexandria).

```
11
Lattice="5.563 -3.216 0.000 5.563 3.216 0.000 -1.779 0.000 7.433" Properties=species:S:1:pos:R:3 pbc="T T T"
Cs 1.847 0.000 1.635
Cs 7.500 0.000 5.798
Sr 5.563 0.000 0.000
Se 0.081 0.000 5.371
Se 9.265 0.000 2.062
O 4.448 1.860 1.298
O 1.692 0.000 5.997
O 4.899 1.860 6.134
O 4.448 -1.860 1.298
O 7.655 0.000 1.435
O 4.899 -1.860 6.134
```

## Properties
- space-group type = C2/m, No. 12

---

17.
# CsSrSe2O6

An optimized crystal structure of CsSrSe2O6 (GGA-PBE, Alexandria).

```
20
Lattice="4.801 -5.681 0.000 4.801 5.681 0.000 -2.440 0.000 7.307" Properties=species:S:1:pos:R:3 pbc="T T T"
Cs 2.970 3.706 5.480
Cs 4.190 -3.706 1.827
Sr 4.190 0.977 1.827
Sr 2.970 -0.977 5.480
Se 0.139 1.150 5.816
Se 1.360 -1.150 2.162
Se 5.801 1.150 5.144
Se 7.021 -1.150 1.491
O 2.479 2.957 2.095
O 0.398 0.074 4.506
O 1.619 -0.074 0.853
O 1.679 1.159 6.588
O 5.902 2.957 1.558
O 4.261 1.159 4.372
O 2.900 -1.159 2.935
O 1.259 -2.957 5.749
O 5.481 -1.159 0.719
O 5.542 0.074 6.454
O 6.762 -0.074 2.801
O 4.681 -2.957 5.211
```

## Properties
- space-group type = C2/c, No. 15

---

18.
# CsSr2Se2O6

An optimized crystal structure of CsSr2Se2O6 (GGA-PBE, Alexandria).

```
11
Lattice="6.269 0.000 0.000 3.122 5.479 0.000 0.050 0.398 7.063" Properties=species:S:1:pos:R:3 pbc="T T T"
Cs 0.000 0.000 0.000
Sr 3.165 1.943 2.754
Sr 6.276 3.934 4.309
Se 3.225 2.093 5.902
Se 6.216 3.783 1.161
O 2.236 3.340 5.189
O 2.504 0.711 4.968
O 4.773 3.733 2.163
O 4.668 2.143 4.900
O 6.937 5.166 2.096
O 7.205 2.537 1.875
```

## Properties
- space-group type = P-1, No. 2

---

19.
# CsSrSeO4

An optimized crystal structure of CsSrSeO4 (GGA-PBE, Alexandria).

```
7
Lattice="0.000 4.753 4.753 4.753 0.000 4.753 4.753 4.753 0.000" Properties=species:S:1:pos:R:3 pbc="T T T"
Cs 0.000 0.000 0.000
Sr 2.376 2.376 2.376
Se 4.753 4.753 4.753
O 3.719 3.719 3.719
O 5.787 5.787 3.719
O 5.787 3.719 5.787
O 3.719 5.787 5.787
```

## Properties
- space-group type = F-43m, No. 216

---

20.
# CsTaSe2O8

An optimized crystal structure of CsTaSe2O8 (GGA-PBE, Alexandria).

```
12
Lattice="5.044 -2.777 0.000 5.044 2.777 0.000 -0.172 0.000 8.777" Properties=species:S:1:pos:R:3 pbc="T T T"
Cs 0.000 0.000 0.000
Ta -0.086 0.000 4.388
Se 3.514 0.000 2.759
Se 6.401 0.000 6.018
O 1.745 0.000 3.908
O 4.654 1.349 2.955
O 5.261 1.349 5.822
O 3.151 0.000 1.148
O 6.764 0.000 7.629
O 4.654 -1.349 2.955
O 5.261 -1.349 5.822
O 8.170 0.000 4.869
```

## Properties
- space-group type = C2/m, No. 12

---

| no. | E_form (uncorrected) (eV per atom) | total DFT energy (no corrections) (eV for the cell shown) |
| --- | --- | --- |
| 1 | -0.8514 | -58.56 |
| 2 | 0.1894 | -15.32 |
| 3 | -1.0671 | -55.12 |
| 4 | -0.5889 | -16.61 |
| 5 | -0.4747 | -54.04 |
| 6 | -1.0119 | -42.57 |
| 7 | -0.9679 | -35.33 |
| 8 | -1.1374 | -66.56 |
| 9 | -1.8457 | -61.26 |
| 10 | -1.5491 | -70.80 |
| 11 | -1.7502 | -119.58 |
| 12 | -1.0019 | -63.51 |
| 13 | -1.1351 | -39.66 |
| 14 | -1.2536 | -64.21 |
| 15 | -1.4786 | -58.70 |
| 16 | -1.6449 | -58.20 |
| 17 | -1.4561 | -107.63 |
| 18 | -1.6366 | -58.94 |
| 19 | -1.4018 | -35.67 |
| 20 | -1.3399 | -75.42 |